(1)
# Tl2BiN (PBE-GGA, optimized geometry)
# density = 10.60 g/cm3
# V = 99.0 Å³/f.u.
# Fermi-level density of states = 1.396 states/eV per atom
# polymorph energy (0 for the lowest one) = 0.528 eV per atom
# E_tot = -12.208 eV/f.u.
data_Tl2BiN
_chemical_formula_sum 'Tl8 Bi4 N4'
_cell_length_a 7.343
_cell_length_b 7.343
_cell_length_c 7.343
_cell_angle_alpha 90.00
_cell_angle_beta 90.00
_cell_angle_gamma 90.00
_symmetry_space_group_name_H-M 'F m -3 m'
_symmetry_Int_Tables_number 225
_symmetry_space_group_name_Hall '-F 4 2 3'
loop_
_atom_site_label
_atom_site_type_symbol
_atom_site_fract_x
_atom_site_fract_y
_atom_site_fract_z
Tl1 Tl 0.250 0.250 0.250
Bi1 Bi 0.000 0.000 0.000
N1 N 0.000 0.000 0.500



(2)
# TeSe2I (PBE-GGA, optimized geometry)
# density = 5.03 g/cm3
# V = 136.1 Å³/f.u.
# Fermi-level density of states = 1.065 states/eV per atom
# polymorph energy (0 for the lowest one) = 0.359 eV per atom
# E_tot = -9.906 eV/f.u.
data_TeSe2I
_chemical_formula_sum 'Te3 Se6 I3'
_cell_length_a 4.1345
_cell_length_b 4.1345
_cell_length_c 27.5803
_cell_angle_alpha 90.00
_cell_angle_beta 90.00
_cell_angle_gamma 120.00
_symmetry_space_group_name_H-M 'R -3 m'
_symmetry_Int_Tables_number 166
_symmetry_space_group_name_Hall '-R 3 2"'
loop_
_atom_site_label
_atom_site_type_symbol
_atom_site_fract_x
_atom_site_fract_y
_atom_site_fract_z
Te1 Te 0.0000 0.0000 0.0000
Se1 Se 0.0000 0.0000 0.0937
I1 I 0.0000 0.0000 0.5000